one.
## Co2Ru2W (PBE-GGA)

Data for crystalline Co2Ru2W at its relaxed geometry.

abc: 6.940 6.940 2.711
angles: 90.00 90.00 90.00
Space group P4/mbm (No. 127)
Unique sites:
Co  0.119  0.381  0.000 x4
Ru  0.176  0.676  0.500 x4
W  0.000  0.000  0.000 x2

Total moment, μB per formula unit: 0.0
Volume, A^3/atom: 13.06

***

two.
## Co2Ru2W (PBE-GGA)

Data for crystalline Co2Ru2W at its relaxed geometry.

abc: 7.041 7.041 2.693
angles: 90.00 90.00 90.00
Space group P4/mbm (No. 127)
Unique sites:
Co  0.170  0.330  0.000 x4
Ru  0.127  0.627  0.500 x4
W  0.000  0.000  0.500 x2

Total moment, μB per formula unit: 2.0
Volume, A^3/atom: 13.35

***

Which structure wins on stability? one wins.

***

one.
## YCoRu2 (PBE-GGA)

Data for crystalline YCoRu2 at its relaxed geometry.

abc: 3.142 4.554 9.191
angles: 90.00 90.00 90.00
Space group Imm2 (No. 44)
Unique sites:
Y  0.000  0.000  0.000 x2
Co  0.000  0.500  0.770 x2
Ru  0.000  0.000  0.495 x2
Ru  0.000  0.500  0.230 x2

Total moment, μB per formula unit: 3.1
Volume, A^3/atom: 16.44

***

two.
## YCoRu2 (PBE-GGA)

Data for crystalline YCoRu2 at its relaxed geometry.

abc: 4.209 2.940 10.474
angles: 90.00 90.00 90.00
Space group Amm2 (No. 38)
Unique sites:
Y  0.000  0.000  0.000 x2
Co  0.500  0.000  0.617 x2
Ru  0.000  0.000  0.739 x2
Ru  0.500  0.000  0.317 x2

Total moment, μB per formula unit: 0.0
Volume, A^3/atom: 16.20

***

Which structure wins on stability? two wins.